This record from Alexandria describes a relaxed UFeRuO6 crystal. The functional is GGA+U.

a b c (Å): 5.3003 5.3003 8.7642
angles (deg): 90.00 90.00 120.00
Space group P-31c (No. 163)
Inequivalent atoms, fractional coordinates:
U1 0.3333 0.6667 0.2500 (multiplicity 2)
Fe1 0.3333 0.6667 0.7500 (multiplicity 2)
Ru1 0.0000 0.0000 0.0000 (multiplicity 2)
O1 0.0076 0.3315 0.6271 (multiplicity 12)

Electronic total energy in eV per atom: -8.07